Entry 1:
Entry from the Alexandria database: an optimized crystal structure of SrFeI (PBE).

Unit cell a=12.295 b=4.190 c=7.274 alpha=90.00 beta=100.85 gamma=90.00
Each line ends with the local moment (μB).
Sites, in units of the cell vectors:
Sr: 0.720 0.000 0.380  -0.06
I: 0.522 0.000 0.985  -0.01
I: 0.900 0.500 0.270  0.02
I: 0.522 0.500 0.485  -0.01
Fe: 0.124 0.000 0.857  2.24
Sr: 0.295 0.000 0.245  -0.09
Fe: 0.124 0.500 0.024  2.52
Fe: 0.124 0.000 0.524  2.52
Fe: 0.124 0.500 0.357  2.24
Sr: 0.295 0.500 0.745  -0.09
Sr: 0.720 0.500 0.880  -0.06
I: 0.900 0.000 0.770  0.02

## Properties
V: 30.7 A^3/atom
DOS at the Fermi energy: 7.31 states/eV per cell
E_tot: -4.17 eV per atom
Theoretical density: 4880 kg/m3
Crystal system: monoclinic
Size of the total moment: 2.15 μB/f.u.

Entry 2:
Entry from the Alexandria database: an optimized crystal structure of YMgPS2 (PBE).

Unit cell a=4.751 b=4.751 c=4.741 alpha=90.00 beta=90.00 gamma=90.00
Sites, in units of the cell vectors:
S: 0.000 0.500 0.000
Mg: 0.000 0.000 0.000
P: 0.000 0.000 0.500
S: 0.500 0.000 0.000
Y: 0.500 0.500 0.500

## Properties
V: 21.4 A^3/atom
DOS at the Fermi energy: 4.44 states/eV per cell
E_tot: -4.81 eV per atom
Theoretical density: 3232 kg/m3
Crystal system: tetragonal
Size of the total moment: 0.00 μB/f.u.

Entry 3:
Entry from the Alexandria database: an optimized crystal structure of AgW (PBE).

Unit cell a=3.816 b=3.816 c=4.554 alpha=90.00 beta=90.00 gamma=90.00
Sites, in units of the cell vectors:
Ag: 0.250 0.750 0.000
W: 0.750 0.750 0.500
W: 0.250 0.250 0.500
Ag: 0.750 0.250 0.000

## Properties
V: 16.6 A^3/atom
DOS at the Fermi energy: 2.54 states/eV per cell
E_tot: -7.20 eV per atom
Theoretical density: 14607 kg/m3
Crystal system: tetragonal
Size of the total moment: 0.00 μB/f.u.